(1)
BaIn2SbSe6 after structural relaxation. Source: Alexandria via LeMat-Bulk, functional GGA-PBE.

```
data_BaIn2SbSe6
_chemical_formula_sum 'Ba4 In8 Sb4 Se24'
_symmetry_space_group_name_H-M 'C 1 2/c 1'
_symmetry_Int_Tables_number 15
_cell_length_a 13.9699
_cell_length_b 11.4045
_cell_length_c 8.3247
_cell_angle_alpha 90.00
_cell_angle_beta 109.29
_cell_angle_gamma 90.00
loop_
_symmetry_equiv_pos_as_xyz
'x,y,z'
'-x,-y,-z'
'-x,y,-z+1/2'
'x,-y,z+1/2'
'x+1/2,y+1/2,z'
'-x+1/2,-y+1/2,-z'
'-x+1/2,y+1/2,-z+1/2'
'x+1/2,-y+1/2,z+1/2'
loop_
_atom_site_label
_atom_site_fract_x
_atom_site_fract_y
_atom_site_fract_z
_atom_site_occupancy
Ba1 0.0000 0.1801 0.2500 1
In1 0.2025 0.4315 0.2059 1
Sb1 0.0000 0.2370 0.7500 1
Se1 0.0979 0.0706 0.6429 1
Se2 0.1166 0.4306 0.4443 1
Se3 0.1708 0.2162 0.0699 1
```

Computed properties:
Raw formation energy: -0.63 eV/atom
M_tot: 0.00 μB/atom

(2)
KNaTa4N8 after structural relaxation. Source: Alexandria via LeMat-Bulk, functional GGA-PBE.

```
data_KNaTa4N8
_chemical_formula_sum 'K3 Na3 Ta12 N24'
_symmetry_space_group_name_H-M 'R 3 m'
_symmetry_Int_Tables_number 160
_symmetry_space_group_name_Hall 'R 3 -2"'
_cell_length_a 6.4100
_cell_length_b 6.4100
_cell_length_c 16.3282
_cell_angle_alpha 90.00
_cell_angle_beta 90.00
_cell_angle_gamma 120.00
loop_
_atom_site_label
_atom_site_fract_x
_atom_site_fract_y
_atom_site_fract_z
_atom_site_occupancy
K1 0.0000 0.0000 0.0000 1
Na1 0.0000 0.0000 0.6088 1
Ta1 0.0000 0.0000 0.2394 1
Ta2 0.1743 0.3485 0.4526 1
N1 0.0000 0.0000 0.3730 1
N2 0.0000 0.0000 0.8529 1
N3 0.0166 0.5083 0.8519 1
N4 0.0698 0.5349 0.3841 1
```

Computed properties:
Raw formation energy: -0.47 eV/atom
M_tot: 0.15 μB/atom

(3)
InPW2 after structural relaxation. Source: Alexandria via LeMat-Bulk, functional GGA-PBE.

```
data_InPW2
_chemical_formula_sum 'In4 P4 W8'
_symmetry_space_group_name_H-M 'I -4 2 d'
_symmetry_Int_Tables_number 122
_symmetry_space_group_name_Hall 'I -4 2bw'
_cell_length_a 3.9468
_cell_length_b 3.9468
_cell_length_c 18.7176
_cell_angle_alpha 90.00
_cell_angle_beta 90.00
_cell_angle_gamma 90.00
loop_
_atom_site_label
_atom_site_fract_x
_atom_site_fract_y
_atom_site_fract_z
_atom_site_occupancy
In1 0.0000 0.0000 0.0000 1
P1 0.0000 0.0000 0.5000 1
W1 0.2092 0.2500 0.6250 1
```

Computed properties:
Energy relative to the lowest polymorph listed for this composition: 650 meV per atom
M_tot: 0.00 μB/atom
DFT formation energy: 0.74 eV/atom

(4)
Er3Ga7Pt4 after structural relaxation. Source: Alexandria via LeMat-Bulk, functional GGA-PBE.

```
data_Er3Ga7Pt4
_chemical_formula_sum 'Er6 Ga14 Pt8'
_symmetry_space_group_name_H-M 'C 1 2/m 1'
_symmetry_Int_Tables_number 12
_cell_length_a 15.7789
_cell_length_b 4.2709
_cell_length_c 9.3445
_cell_angle_alpha 90.00
_cell_angle_beta 125.28
_cell_angle_gamma 90.00
loop_
_symmetry_equiv_pos_as_xyz
'x,y,z'
'-x,-y,-z'
'-x,y,-z'
'x,-y,z'
'x+1/2,y+1/2,z'
'-x+1/2,-y+1/2,-z'
'-x+1/2,y+1/2,-z'
'x+1/2,-y+1/2,z'
loop_
_atom_site_label
_atom_site_fract_x
_atom_site_fract_y
_atom_site_fract_z
_atom_site_occupancy
Er1 0.0000 0.0000 0.0000 1
Er2 0.1940 0.5000 0.6994 1
Ga1 0.0000 0.0000 0.5000 1
Ga2 0.0005 0.5000 0.2928 1
Ga3 0.1544 0.0000 0.4285 1
Ga4 0.1796 0.5000 0.0332 1
Pt1 0.1225 0.0000 0.8485 1
Pt2 0.1570 0.5000 0.2802 1
```

Computed properties:
M_tot: 0.00 μB/atom
DFT formation energy: -0.88 eV/atom

(5)
NaPbAu2 after structural relaxation. Source: Alexandria via LeMat-Bulk, functional GGA-PBE.

```
data_NaPbAu2
_chemical_formula_sum 'Na2 Pb2 Au4'
_symmetry_space_group_name_H-M 'I m m m'
_symmetry_Int_Tables_number 71
_symmetry_space_group_name_Hall '-I 2 2'
_cell_length_a 2.9916
_cell_length_b 5.2396
_cell_length_c 11.9337
_cell_angle_alpha 90.00
_cell_angle_beta 90.00
_cell_angle_gamma 90.00
loop_
_atom_site_label
_atom_site_fract_x
_atom_site_fract_y
_atom_site_fract_z
_atom_site_occupancy
Na1 0.0000 0.0000 0.0000 1
Pb1 0.0000 0.0000 0.5000 1
Au1 0.0000 0.0000 0.2538 1
```

Computed properties:
M_tot: 0.00 μB/atom
DFT formation energy: 0.12 eV/atom

(6)
CaSn12Rh4 after structural relaxation. Source: Alexandria via LeMat-Bulk, functional GGA-PBE.

```
data_CaSn12Rh4
_chemical_formula_sum 'Ca2 Sn24 Rh8'
_symmetry_space_group_name_H-M 'I m -3'
_symmetry_Int_Tables_number 204
_symmetry_space_group_name_Hall '-I 2 2 3'
_cell_length_a 9.4713
_cell_length_b 9.4713
_cell_length_c 9.4713
_cell_angle_alpha 90.00
_cell_angle_beta 90.00
_cell_angle_gamma 90.00
loop_
_atom_site_label
_atom_site_fract_x
_atom_site_fract_y
_atom_site_fract_z
_atom_site_occupancy
Ca1 0.0000 0.0000 0.0000 1
Sn1 0.0000 0.1627 0.3380 1
Rh1 0.2500 0.2500 0.2500 1
```

Computed properties:
M_tot: 0.00 μB/atom
DFT formation energy: -0.28 eV/atom

(7)
Ti3CoNi after structural relaxation. Source: Alexandria via LeMat-Bulk, functional GGA-PBE.

```
data_Ti3CoNi
_chemical_formula_sum 'Ti6 Co2 Ni2'
_symmetry_space_group_name_H-M 'P m m n'
_symmetry_Int_Tables_number 59
_cell_length_a 4.0565
_cell_length_b 5.4759
_cell_length_c 6.8518
_cell_angle_alpha 90.00
_cell_angle_beta 90.00
_cell_angle_gamma 90.00
loop_
_symmetry_equiv_pos_as_xyz
'x,y,z'
'-x,-y,-z'
'-x+1/2,-y+1/2,z'
'x+1/2,y+1/2,-z'
'x+1/2,-y,-z'
'-x+1/2,y,z'
'-x,y+1/2,-z'
'x,-y+1/2,z'
loop_
_atom_site_label
_atom_site_fract_x
_atom_site_fract_y
_atom_site_fract_z
_atom_site_occupancy
Ti1 0.2500 0.0016 0.1649 1
Ti2 0.2500 0.2500 0.5386 1
Co1 0.2500 0.2500 0.8793 1
Ni1 0.2500 0.7500 0.6800 1
```

Computed properties:
Energy relative to the lowest polymorph listed for this composition: 0 meV per atom
M_tot: 0.00 μB/atom
DFT formation energy: -0.09 eV/atom

(8)
FeTcP2 after structural relaxation. Source: Alexandria via LeMat-Bulk, functional GGA-PBE.

```
data_FeTcP2
_chemical_formula_sum 'Fe3 Tc3 P6'
_symmetry_space_group_name_H-M 'R 3 m'
_symmetry_Int_Tables_number 160
_symmetry_space_group_name_Hall 'R 3 -2"'
_cell_length_a 2.9281
_cell_length_b 2.9281
_cell_length_c 21.4907
_cell_angle_alpha 90.00
_cell_angle_beta 90.00
_cell_angle_gamma 120.00
loop_
_atom_site_label
_atom_site_fract_x
_atom_site_fract_y
_atom_site_fract_z
_atom_site_occupancy
Fe1 0.0000 0.0000 0.0000 1
Tc1 0.0000 0.0000 0.2328 1
P1 0.0000 0.0000 0.4899 1
P2 0.0000 0.0000 0.7351 1
```

Computed properties:
Energy relative to the lowest polymorph listed for this composition: 351 meV per atom
M_tot: 0.48 μB/atom
DFT formation energy: -0.06 eV/atom

(9)
LaPaP2O8 after structural relaxation. Source: Alexandria via LeMat-Bulk, functional GGA-PBE.

```
data_LaPaP2O8
_chemical_formula_sum 'La1 Pa1 P2 O8'
_symmetry_space_group_name_H-M 'P -3 m 1'
_symmetry_Int_Tables_number 164
_symmetry_space_group_name_Hall '-P 3 2"'
_cell_length_a 5.3811
_cell_length_b 5.3811
_cell_length_c 7.4103
_cell_angle_alpha 90.00
_cell_angle_beta 90.00
_cell_angle_gamma 120.00
loop_
_atom_site_label
_atom_site_fract_x
_atom_site_fract_y
_atom_site_fract_z
_atom_site_occupancy
La1 0.0000 0.0000 0.0000 1
Pa1 0.0000 0.0000 0.5000 1
P1 0.3333 0.6667 0.2003 1
O1 0.1766 0.3532 0.2743 1
O2 0.3333 0.6667 0.9947 1
```

Computed properties:
Raw formation energy: -2.70 eV/atom
M_tot: 0.17 μB/atom

(10)
TbBeGa2Pt4 after structural relaxation. Source: Alexandria via LeMat-Bulk, functional GGA-PBE.

```
data_TbBeGa2Pt4
_chemical_formula_sum 'Tb3 Be3 Ga6 Pt12'
_symmetry_space_group_name_H-M 'R -3 m'
_symmetry_Int_Tables_number 166
_symmetry_space_group_name_Hall '-R 3 2"'
_cell_length_a 4.2809
_cell_length_b 4.2809
_cell_length_c 24.8745
_cell_angle_alpha 90.00
_cell_angle_beta 90.00
_cell_angle_gamma 120.00
loop_
_atom_site_label
_atom_site_fract_x
_atom_site_fract_y
_atom_site_fract_z
_atom_site_occupancy
Tb1 0.0000 0.0000 0.0000 1
Be1 0.0000 0.0000 0.5000 1
Ga1 0.0000 0.0000 0.2452 1
Pt1 0.0000 0.0000 0.1371 1
Pt2 0.0000 0.0000 0.4062 1
```

Computed properties:
M_tot: 0.00 μB/atom
DFT formation energy: -0.85 eV/atom

(11)
AsPb2 after structural relaxation. Source: Alexandria via LeMat-Bulk, functional GGA-PBE.

```
data_AsPb2
_chemical_formula_sum 'As1 Pb2'
_symmetry_space_group_name_H-M 'P -3 m 1'
_symmetry_Int_Tables_number 164
_symmetry_space_group_name_Hall '-P 3 2"'
_cell_length_a 4.1253
_cell_length_b 4.1253
_cell_length_c 6.1746
_cell_angle_alpha 90.00
_cell_angle_beta 90.00
_cell_angle_gamma 120.00
loop_
_atom_site_label
_atom_site_fract_x
_atom_site_fract_y
_atom_site_fract_z
_atom_site_occupancy
As1 0.0000 0.0000 0.0000 1
Pb1 0.3333 0.6667 0.2828 1
```

Computed properties:
Energy relative to the lowest polymorph listed for this composition: 22 meV per atom
M_tot: 0.00 μB/atom
DFT formation energy: 0.02 eV/atom

(12)
TaNb2In after structural relaxation. Source: Alexandria via LeMat-Bulk, functional GGA-PBE.

```
data_TaNb2In
_chemical_formula_sum 'Ta3 Nb6 In3'
_symmetry_space_group_name_H-M 'R -3 m'
_symmetry_Int_Tables_number 166
_symmetry_space_group_name_Hall '-R 3 2"'
_cell_length_a 3.1902
_cell_length_b 3.1902
_cell_length_c 27.0542
_cell_angle_alpha 90.00
_cell_angle_beta 90.00
_cell_angle_gamma 120.00
loop_
_atom_site_label
_atom_site_fract_x
_atom_site_fract_y
_atom_site_fract_z
_atom_site_occupancy
Ta1 0.0000 0.0000 0.0000 1
Nb1 0.0000 0.0000 0.2567 1
In1 0.0000 0.0000 0.5000 1
```

Computed properties:
M_tot: 0.00 μB/atom
DFT formation energy: 0.22 eV/atom

Looking at total energy for the records above, in order, we have -3.876, -8.784, -7.775, -5.100, -2.777, -4.954, -7.404, -7.470, -8.111, -5.672, -3.999, -8.465 eV/atom.